1.
RbHg2As | Alexandria | PBE | optimized geometry; energy relative to the elements = -17.6 kJ/mol of atoms; total moment = 0.00 μB/cell; density = 7.61 g/cm³
1.0
5.1361 -0.0022 0.0000
-2.5729 9.6516 0.0000
0.0000 0.0000 9.8879
As Rb Hg
4 4 8
direct
0.8537 0.7042 0.5056
0.8537 0.7042 0.9944
0.1463 0.2958 0.0056
0.1463 0.2958 0.4944
0.5000 0.0000 0.0000
0.2943 0.5895 0.7500
0.7057 0.4105 0.2500
0.5000 0.0000 0.5000
0.6918 0.3860 0.8966
0.3082 0.6140 0.1034
0.0854 0.1730 0.7500
0.3082 0.6140 0.3966
0.9146 0.8270 0.2500
0.6918 0.3860 0.6034
0.0674 0.1338 0.2500
0.9326 0.8662 0.7500


2.
LaUSe2N | Alexandria | PBE | optimized geometry; total moment = 3.41 μB/cell; density = 7.51 g/cm³; E_form (uncorrected) = -1627 meV per atom
1.0
3.9896 0.0000 0.0000
0.0000 3.9896 0.0000
0.0000 0.0000 15.2464
Se U La N
4 2 2 2
direct
0.0000 0.5000 0.0832
0.5000 0.0000 0.3237
0.5000 0.0000 0.9168
0.0000 0.5000 0.6763
0.0000 0.5000 0.4270
0.5000 0.0000 0.5730
0.5000 0.0000 0.1332
0.0000 0.5000 0.8668
0.5000 0.5000 0.5000
0.0000 0.0000 0.5000


3.
Al4CrSi | Alexandria | PBE | optimized geometry; total moment = 0.73 μB/cell; density = 3.42 g/cm³; E_form (uncorrected) = 314 meV per atom
1.0
0.0000 3.5752 3.5752
3.5752 0.0000 3.5752
3.5752 3.5752 0.0000
Al Cr Si
4 1 1
direct
0.3759 0.8723 0.3759
0.3759 0.3759 0.8723
0.3759 0.3759 0.3759
0.8723 0.3759 0.3759
0.7500 0.7500 0.7500
0.0000 0.0000 0.0000


4.
CaHg2S | Alexandria | PBE | optimized geometry; total moment = 0.00 μB/cell; density = 7.64 g/cm³; E_form (uncorrected) = -629 meV per atom
1.0
8.6224 0.0000 0.0000
0.0000 8.6224 0.0000
4.3112 4.3112 2.7685
Ca Hg S
2 4 2
direct
0.0000 0.0000 0.0000
0.7500 0.2500 0.5000
0.3750 0.4088 0.7500
0.1588 0.6250 0.2500
0.8750 0.8412 0.7500
0.5912 0.1250 0.2500
0.5000 0.5000 0.0000
0.2500 0.7500 0.5000


5.
TeMo3 | Alexandria | PBE | optimized geometry; offset from the most stable computed form = 0.000 eV/atom; total moment = 0.00 μB/cell; density = 9.98 g/cm³; E_form (uncorrected) = 303 meV per atom
1.0
-2.7663 1.4089 0.8868
-0.7536 -2.5934 1.7693
3.0493 2.6890 5.2399
Te Mo
1 3
direct
0.5000 0.5000 0.7500
0.0000 0.0000 0.0169
0.0000 0.0000 0.4831
0.5000 0.5000 0.2500


6.
VBPb2 | Alexandria | PBE | optimized geometry; energy relative to the elements = 77.5 kJ/mol of atoms; total moment = 5.00 μB/cell; density = 8.70 g/cm³
1.0
9.1879 0.0000 0.0000
0.0000 9.1879 0.0000
4.5939 4.5939 2.1533
V Pb B
2 4 2
direct
0.7500 0.2500 0.5000
0.0000 0.0000 0.0000
0.8750 0.7375 0.7500
0.3750 0.5125 0.7500
0.4875 0.1250 0.2500
0.2625 0.6250 0.2500
0.5000 0.5000 0.0000
0.2500 0.7500 0.5000